Entry 1:
Computed, not measured: Tb3Tm at its PBEsol-relaxed geometry at the meta-GGA SCAN level of DFT.

- calculated formation energy (eV per atom) = 0.020
- raw total energy (eV/cell) = -384.080
- crystal system = tetragonal

a b c (Å): 4.8948 4.8948 9.7964
angles (deg): 90.00 90.00 90.00
With the nearest neighbours (Å) after each atom.
Positions (direct):
Tb (0.0000, 0.0000, 0.0000)  4 Tm 3.46, 8 Tb 3.46
Tb (0.0000, 0.5000, 0.2500)  8 Tb 3.46, 4 Tm 3.46
Tb (0.0000, 0.5000, 0.7500)  8 Tb 3.46, 4 Tm 3.46
Tb (0.5000, 0.0000, 0.2500)  8 Tb 3.46, 4 Tm 3.46
Tb (0.5000, 0.0000, 0.7500)  8 Tb 3.46, 4 Tm 3.46
Tb (0.5000, 0.5000, 0.5000)  4 Tm 3.46, 8 Tb 3.46
Tm (0.0000, 0.0000, 0.5000)  12 Tb 3.46
Tm (0.5000, 0.5000, 0.0000)  12 Tb 3.46

=====

Entry 2:
Computed, not measured: Tb3Tm at its PBEsol-relaxed geometry at the meta-GGA SCAN level of DFT.

- calculated formation energy (eV per atom) = 0.020
- raw total energy (eV/cell) = -192.040
- crystal system = cubic

a b c (Å): 4.8960 4.8960 4.8960
angles (deg): 90.00 90.00 90.00
With the nearest neighbours (Å) after each atom.
Positions (direct):
Tb (0.0000, 0.0000, 0.5000)  8 Tb 3.46, 4 Tm 3.46
Tb (0.0000, 0.5000, 0.0000)  8 Tb 3.46, 4 Tm 3.46
Tb (0.5000, 0.0000, 0.0000)  8 Tb 3.46, 4 Tm 3.46
Tm (0.5000, 0.5000, 0.5000)  12 Tb 3.46